Entry 1:
Material: SbPbSe
Method: DFT, PBE-GGA
State: optimized geometry

Relative energy among the computed polymorphs   0.000 eV per formula unit

a = 4.173 Å, b = 4.211 Å, c = 10.707 Å
α = 90.00°, β = 90.00°, γ = 90.00°
Space group Imm2 (No. 44)
One atom of each set of equivalent atoms:
Sb  0.000  0.000  0.000 (multiplicity 2)
Pb  0.000  0.000  0.648 (multiplicity 2)
Se  0.000  0.000  0.248 (multiplicity 2)


Entry 2:
Material: SbPbSe
Method: DFT, PBE-GGA
State: optimized geometry

Relative energy among the computed polymorphs   0.458 eV per formula unit

a = 7.239 Å, b = 7.239 Å, c = 7.239 Å
α = 90.00°, β = 90.00°, γ = 90.00°
Space group F-43m (No. 216)
One atom of each set of equivalent atoms:
Sb  0.000  0.000  0.000 (multiplicity 4)
Pb  0.250  0.250  0.750 (multiplicity 4)
Se  0.250  0.250  0.250 (multiplicity 4)


Entry 3:
Material: Sm4Sb2PbSe
Method: DFT, PBE-GGA
State: optimized geometry

a = 7.660 Å, b = 4.402 Å, c = 7.674 Å
α = 90.00°, β = 109.30°, γ = 90.00°
Space group P2/m (No. 10)
One atom of each set of equivalent atoms:
Sm  0.246  0.000  0.246 (multiplicity 2)
Sm  0.249  0.500  0.755 (multiplicity 2)
Sb  0.500  0.000  0.000 (multiplicity 1)
Sb  0.500  0.500  0.500 (multiplicity 1)
Pb  0.000  0.000  0.500 (multiplicity 1)
Se  0.000  0.500  0.000 (multiplicity 1)


Entry 4:
Material: Sm6SbPb2Se3
Method: DFT, PBE-GGA
State: optimized geometry

a = 18.949 Å, b = 4.359 Å, c = 8.703 Å
α = 90.00°, β = 102.93°, γ = 90.00°
Space group C2/m (No. 12)
One atom of each set of equivalent atoms:
Sm  0.001  0.000  0.245 (multiplicity 4)
Sm  0.164  0.500  0.089 (multiplicity 4)
Sm  0.168  0.500  0.577 (multiplicity 4)
Sb  0.000  0.500  0.500 (multiplicity 2)
Pb  0.167  0.000  0.833 (multiplicity 4)
Se  0.000  0.500  0.000 (multiplicity 2)
Se  0.166  0.000  0.333 (multiplicity 4)


Entry 5:
Material: Sm4SbPbSe2
Method: DFT, PBE-GGA
State: optimized geometry

a = 7.507 Å, b = 4.361 Å, c = 7.539 Å
α = 90.00°, β = 109.54°, γ = 90.00°
Space group P2/m (No. 10)
One atom of each set of equivalent atoms:
Sm  0.240  0.000  0.247 (multiplicity 2)
Sm  0.241  0.500  0.747 (multiplicity 2)
Sb  0.500  0.000  0.000 (multiplicity 1)
Pb  0.500  0.500  0.500 (multiplicity 1)
Se  0.000  0.000  0.500 (multiplicity 1)
Se  0.000  0.500  0.000 (multiplicity 1)


Entry 6:
Material: Sm6Sb2PbSe3
Method: DFT, PBE-GGA
State: optimized geometry

a = 18.900 Å, b = 4.352 Å, c = 8.666 Å
α = 90.00°, β = 102.90°, γ = 90.00°
Space group C2/m (No. 12)
One atom of each set of equivalent atoms:
Sm  0.003  0.000  0.244 (multiplicity 4)
Sm  0.165  0.500  0.088 (multiplicity 4)
Sm  0.169  0.500  0.578 (multiplicity 4)
Sb  0.167  0.000  0.833 (multiplicity 4)
Pb  0.000  0.500  0.500 (multiplicity 2)
Se  0.000  0.500  0.000 (multiplicity 2)
Se  0.167  0.000  0.333 (multiplicity 4)


no.,formation energy from raw total energies (eV per atom)
1,-0.0367
2,0.1159
3,-1.1728
4,-1.2797
5,-1.3399
6,-1.3919